# Zr4As2N

Zr4As2N after structural relaxation (PBE-GGA, the Alexandria database). Values from VASP.

```
&SYSTEM
  ibrav = 0, nat = 7, ntyp = 3
/
ATOMIC_SPECIES
Zr 91.22 Zr.upf
As 74.92 As.upf
N 14.01 N.upf
CELL_PARAMETERS angstrom
6.6845 -1.7385 0.0000
6.6845 1.7385 0.0000
-2.7143 0.0000 5.6713
ATOMIC_POSITIONS crystal
Zr 0.0975 0.0975 0.4073
Zr 0.3932 0.3932 0.0400
Zr 0.6068 0.6068 0.9600
Zr 0.9025 0.9025 0.5927
As 0.2625 0.2625 0.2674
As 0.7375 0.7375 0.7326
N 0.0000 0.0000 0.0000
```

Summary:
crystal system	monoclinic
space-group type	C2/m (12)
E_form (uncorrected)	-0.995	eV/atom